Entry from the Open Quantum Materials Database: crystalline ThZr at its relaxed geometry (PBE).

a = 6.6032 Å, b = 5.9441 Å, c = 5.6233 Å
α = 90.00°, β = 90.00°, γ = 90.00°
Last column: nearest neighbours and their distance in Å.
Space group Pbcm (No. 57)
Unique sites:
Th 0.1374 0.0776 0.2500 x4  4 Zr 3.10-3.46
Zr 0.3942 0.6042 0.2500 x4  4 Th 3.10-3.46, 6 Zr 3.28-3.38

Summary:
Energy of formation from the pure elements = 90 meV per atom